A geometry-optimized KU2CrO8 structure. Source: Alexandria via LeMat-Bulk, functional GGA+U.

## Properties
Total DFT energy (no corrections)   -8.51 eV per atom
Size of the total moment   2.96 Bohr magnetons per cell

extended XYZ file:
```
12
Lattice="4.952 0.000 0.000 0.287 4.945 0.000 0.176 0.163 7.054" Properties=species:S:1:pos:R:3 pbc="T T T"
K 0.000 0.000 0.000
U 2.623 2.475 1.805
U 2.792 2.634 5.249
Cr 0.088 0.082 3.527
O 1.383 3.993 4.956
O 1.355 3.968 2.097
O 1.654 1.565 3.463
O 1.930 1.832 6.940
O 3.485 3.277 0.113
O 3.761 3.544 3.591
O 4.060 1.141 4.957
O 4.032 1.115 2.098
```